! V3O5, relaxed, DFT PBE with a Hubbard U; values from VASP
&SYSTEM
  ibrav = 0, nat = 16, ntyp = 2
/
ATOMIC_SPECIES
V 50.94 V.upf
O 16.00 O.upf
CELL_PARAMETERS angstrom
5.186 -0.015 -0.003
2.626 5.100 0.005
-0.067 -2.664 6.573
ATOMIC_POSITIONS angstrom
V 6.503 3.281 1.469
V 6.449 1.945 4.747
V 1.243 -0.861 5.107
V 1.296 0.475 1.829
V 3.873 1.210 3.288
V 3.906 2.542 0.001
O 4.887 0.502 4.914
O 2.858 1.919 1.662
O 3.120 2.796 4.382
O 4.741 4.004 1.068
O 4.625 -0.375 2.193
O 3.004 -1.584 5.507
O 2.023 0.857 6.235
O 5.646 2.146 2.881
O 5.723 1.564 0.340
O 2.100 0.274 3.695
! * space group: P-1, No. 2
! * energy above the lowest structure with this stoichiometry: 0 meV/atom
! * calculated total energy: -7.949 eV/atom
! * total moment: 5.0 μB per formula unit